The following is a DFT calculation (PBE-GGA) of Tb6CN4 after structural relaxation.

Values from the calculation:
- calculated density (g cm⁻³) = 9.04
- volume (A^3/atom) = 17.06
- raw formation energy (eV per atom) = -0.667

Unit cell a=7.218 b=7.218 c=7.218 alpha=91.93 beta=91.93 gamma=91.93
Element x y z (fractional)
Tb1 0.028 0.948 0.684
Tb2 0.052 0.316 0.972
Tb3 0.184 0.448 0.528
Tb4 0.316 0.972 0.052
Tb5 0.448 0.528 0.184
Tb6 0.472 0.816 0.552
Tb7 0.528 0.184 0.448
Tb8 0.552 0.472 0.816
Tb9 0.684 0.028 0.948
Tb10 0.816 0.552 0.472
Tb11 0.948 0.684 0.028
Tb12 0.972 0.052 0.316
C1 0.000 0.000 0.000
C2 0.500 0.500 0.500
N1 0.100 0.750 0.400
N2 0.250 0.250 0.250
N3 0.250 0.600 0.900
N4 0.400 0.100 0.750
N5 0.600 0.900 0.250
N6 0.750 0.400 0.100
N7 0.750 0.750 0.750
N8 0.900 0.250 0.600